Entry 1:
# BeAg2Au PBE-GGA optimized geometry
# VASP energy: -23.81 eV per cell
# Formation enthalpy at 0 K: 0.20 eV per atom
data_BeAg2Au
_chemical_formula_sum 'Be2 Ag4 Au2'
_space_group_name_H-M_alt 'C m m m'
_space_group_IT_number 65
_space_group_name_Hall '-C 2 2'
_cell_length_a 5.5566
_cell_length_b 7.8198
_cell_length_c 2.9783
_cell_angle_alpha 90.00
_cell_angle_beta 90.00
_cell_angle_gamma 90.00
loop_
_atom_site_label
_atom_site_type_symbol
_atom_site_fract_x
_atom_site_fract_y
_atom_site_fract_z
_atom_site_occupancy
Be1 Be 0.0000 0.0000 0.0000 1
Ag1 Ag 0.2500 0.2500 0.5000 1
Au1 Au 0.0000 0.5000 0.0000 1

Entry 2:
# HoTeS2 PBE-GGA optimized geometry
# E_form (uncorrected): -1136 meV/atom
# VASP energy: -61.56 eV per cell
data_HoTeS2
_chemical_formula_sum 'Ho3 Te3 S6'
_space_group_name_H-M_alt 'R -3 m'
_space_group_IT_number 166
_space_group_name_Hall '-R 3 2"'
_cell_length_a 3.9667
_cell_length_b 3.9667
_cell_length_c 24.7258
_cell_angle_alpha 90.00
_cell_angle_beta 90.00
_cell_angle_gamma 120.00
loop_
_atom_site_label
_atom_site_type_symbol
_atom_site_fract_x
_atom_site_fract_y
_atom_site_fract_z
_atom_site_occupancy
Ho1 Ho 0.0000 0.0000 0.0000 1
Te1 Te 0.0000 0.0000 0.5000 1
S1 S 0.0000 0.0000 0.3925 1

Entry 3:
# MnSb2Cl PBE-GGA optimized geometry
# Distance to the lowest polymorph of the same formula: 59 meV/atom
# E_form (uncorrected): -142 meV/atom
# VASP energy: -39.66 eV per cell
data_MnSb2Cl
_chemical_formula_sum 'Mn2 Sb4 Cl2'
_space_group_name_H-M_alt 'I m m 2'
_space_group_IT_number 44
_cell_length_a 3.2169
_cell_length_b 5.2820
_cell_length_c 14.1453
_cell_angle_alpha 90.00
_cell_angle_beta 90.00
_cell_angle_gamma 90.00
loop_
_space_group_symop_operation_xyz
'x,y,z'
'-x,-y,z'
'-x,y,z'
'x,-y,z'
'x+1/2,y+1/2,z+1/2'
'-x+1/2,-y+1/2,z+1/2'
'-x+1/2,y+1/2,z+1/2'
'x+1/2,-y+1/2,z+1/2'
loop_
_atom_site_label
_atom_site_type_symbol
_atom_site_fract_x
_atom_site_fract_y
_atom_site_fract_z
_atom_site_occupancy
Mn1 Mn 0.0000 0.0000 0.0000 1
Sb1 Sb 0.0000 0.0000 0.4337 1
Sb2 Sb 0.0000 0.5000 0.3323 1
Cl1 Cl 0.0000 0.5000 0.6236 1